# 1
## NaTiVN2 (PBE-GGA)

Data for NaTiVN2 after structural relaxation.

Lattice parameters (Å, degrees): 3.9671 3.9671 4.7233 90.00 90.00 90.00
Positions (direct):
Na  0.0000  0.0000  0.0000
Ti  0.0000  0.0000  0.5000
V  0.5000  0.5000  0.0000
N  0.0000  0.5000  0.5000
N  0.5000  0.0000  0.5000

Values from the calculation:
- ρ: 3347 kg/m³
- E_form (uncorrected): 1.168 eV/atom

=====

# 2
## CoBiTe (PBE-GGA)

Data for CoBiTe after structural relaxation.

Lattice parameters (Å, degrees): 7.5083 6.6837 8.4025 58.37 49.29 72.34
Positions (direct):
Co  0.2521  0.7479  0.2683
Co  0.5183  0.9817  0.5021
Co  0.7479  0.2521  0.7317
Co  0.9817  0.5183  0.9979
Bi  0.1856  0.8163  0.9657
Bi  0.2177  0.2843  0.4337
Bi  0.2843  0.2177  0.0644
Bi  0.8163  0.1856  0.0323
Te  0.3129  0.6849  0.5520
Te  0.6849  0.3129  0.4501
Te  0.6980  0.7999  0.9371
Te  0.7999  0.6980  0.5651

Values from the calculation:
- ρ: 9671 kg/m³
- E_form (uncorrected): -0.053 eV/atom